GGA-PBE Na2Sr8Li, optimized geometry; ΔE to the lowest computed polymorph = 0.342 eV per formula unit; D(E_F) = 11.87 states/eV/cell; E_form = 0.05 eV/atom; VASP energy = -0.116 Ry per atom
1.0
-3.4457 1.9396 5.0413
-4.4884 -7.3899 -0.2246
9.9836 -2.1384 3.5751
Sr Na Li
8 2 1
direct
0.9771 0.2229 0.9543
0.1873 0.2640 0.3745
0.4056 0.5633 0.8113
0.3409 0.0545 0.6819
0.8127 0.7360 0.6255
0.6591 0.9455 0.3181
0.0229 0.7771 0.0457
0.5944 0.4367 0.1887
0.8144 0.3102 0.6289
0.1856 0.6898 0.3711
0.5000 0.0000 0.0000

GGA-PBE NaSr2Li2, optimized geometry; ΔE to the lowest computed polymorph = 0.000 eV per formula unit; D(E_F) = 5.72 states/eV/cell; E_form = 0.03 eV/atom; VASP energy = -0.123 Ry per atom
1.0
-0.0272 5.5398 6.8144
-8.7646 -0.4468 0.3282
0.3153 -3.8713 3.1484
Na Sr Li
2 4 4
direct
0.5000 0.5000 0.0000
0.0000 0.0000 0.0000
0.8257 0.3257 0.5000
0.6743 0.8257 0.5000
0.1743 0.6743 0.5000
0.3257 0.1743 0.5000
0.6201 0.1201 0.0000
0.1201 0.3799 0.0000
0.8799 0.6201 0.0000
0.3799 0.8799 0.0000